VASP calculation (PBE) on Sr2AsH after structural relaxation.

Unit cell a=7.3801 b=8.0672 c=7.2425 alpha=90.00 beta=102.80 gamma=90.00
Atoms (fractional coordinates):
Sr: 0.0728 0.1213 0.2658
Sr: 0.0728 0.3787 0.7658
Sr: 0.4139 0.7394 0.4857
Sr: 0.4139 0.7606 0.9857
Sr: 0.5861 0.2394 0.0143
Sr: 0.5861 0.2606 0.5143
Sr: 0.9272 0.6213 0.2342
Sr: 0.9272 0.8787 0.7342
As: 0.2992 0.0614 0.6905
As: 0.2992 0.4386 0.1905
As: 0.7008 0.5614 0.8095
As: 0.7008 0.9386 0.3095
H: 0.1395 0.6553 0.6353
H: 0.1395 0.8447 0.1353
H: 0.8605 0.1553 0.8647
H: 0.8605 0.3447 0.3647

Its crystal system is monoclinic. The total energy is -3.77 eV/atom. The energy above the lowest structure with this stoichiometry is 0 meV per atom. The size of the total moment comes out at 0.00 μB per atom. As for the space-group type: No. 14.